[1]
## LiPrZrAl (PBE)

Data for crystalline LiPrZrAl at its relaxed geometry.

Unit cell a=5.0476 b=5.0476 c=5.0476 alpha=60.00 beta=60.00 gamma=60.00
Last column: nearest neighbours and their distance in Å.
Fractional positions:
1 Al 0.2500 0.2500 0.2500  4 Zr 3.09, 4 Pr 3.09
2 Li 0.7500 0.7500 0.7500  4 Zr 3.09, 4 Pr 3.09
3 Pr 0.5000 0.5000 0.5000  4 Al 3.09, 4 Li 3.09
4 Zr 0.0000 0.0000 0.0000  4 Li 3.09, 4 Al 3.09

Summary:
Its formation energy from the elements is -0.08 eV per atom. As for the size of the total moment: 0.001 μB/f.u.

=====

[2]
## Li6Al12Pt (PBE)

Data for crystalline Li6Al12Pt at its relaxed geometry.

Unit cell a=6.7680 b=6.7680 c=6.7680 alpha=92.87 beta=92.87 gamma=92.87
Last column: nearest neighbours and their distance in Å.
Fractional positions:
1 Al 0.0368 0.1375 0.3672  1 Pt 2.61, 4 Al 2.65-2.88, 4 Li 2.69-2.83
2 Al 0.1375 0.3672 0.0368  1 Pt 2.61, 4 Al 2.65-2.88, 4 Li 2.69-2.83
3 Al 0.8625 0.6328 0.9632  1 Pt 2.61, 4 Al 2.65-2.88, 4 Li 2.69-2.83
4 Al 0.4543 0.7944 0.5339  4 Al 2.65-2.88, 4 Li 2.73-2.86
5 Al 0.2056 0.4661 0.5457  4 Al 2.65-2.88, 4 Li 2.73-2.86
6 Al 0.9632 0.8625 0.6328  1 Pt 2.61, 4 Al 2.65-2.88, 4 Li 2.69-2.83
7 Al 0.3672 0.0368 0.1375  1 Pt 2.61, 4 Al 2.65-2.88, 4 Li 2.69-2.83
8 Al 0.7944 0.5339 0.4543  4 Al 2.65-2.88, 4 Li 2.73-2.86
9 Al 0.6328 0.9632 0.8625  1 Pt 2.61, 4 Al 2.65-2.88, 4 Li 2.69-2.83
10 Al 0.5457 0.2056 0.4661  4 Al 2.65-2.88, 4 Li 2.73-2.86
11 Al 0.5339 0.4543 0.7944  4 Al 2.65-2.88, 4 Li 2.73-2.86
12 Al 0.4661 0.5457 0.2056  4 Al 2.65-2.88, 4 Li 2.73-2.86
13 Li 0.1148 0.7367 0.2748  9 Al 2.69-2.92, 1 Pt 2.75, 2 Li 2.87
14 Li 0.7252 0.8852 0.2633  9 Al 2.69-2.92, 1 Pt 2.75, 2 Li 2.87
15 Li 0.2748 0.1148 0.7367  9 Al 2.69-2.92, 1 Pt 2.75, 2 Li 2.87
16 Li 0.2633 0.7252 0.8852  9 Al 2.69-2.92, 1 Pt 2.75, 2 Li 2.87
17 Li 0.8852 0.2633 0.7252  9 Al 2.69-2.92, 1 Pt 2.75, 2 Li 2.87
18 Li 0.7367 0.2748 0.1148  9 Al 2.69-2.92, 1 Pt 2.75, 2 Li 2.87
19 Pt 0.0000 0.0000 0.0000  6 Al 2.61, 6 Li 2.75

Summary:
Its formation energy from the elements is -0.19 eV per atom. As for the size of the total moment: 0.000 μB/f.u.

=====

[3]
## LiAl2Pt3 (PBE)

Data for crystalline LiAl2Pt3 at its relaxed geometry.

Unit cell a=2.9329 b=2.9329 c=10.0382 alpha=90.00 beta=90.00 gamma=90.00
Last column: nearest neighbours and their distance in Å.
Fractional positions:
1 Pt 0.0000 0.0000 0.3246  4 Al 2.58, 4 Li 2.72
2 Pt 0.0000 0.0000 0.6754  4 Al 2.58, 4 Li 2.72
3 Pt 0.0000 0.0000 0.0000  8 Al 2.69, 4 Pt 2.93
4 Li 0.5000 0.5000 0.5000  8 Pt 2.72, 4 Li 2.93
5 Al 0.5000 0.5000 0.8287  8 Pt 2.58-2.69
6 Al 0.5000 0.5000 0.1713  8 Pt 2.58-2.69

Summary:
Its formation energy from the elements is -0.92 eV per atom. As for the size of the total moment: 0.000 μB/f.u. The energy above the most stable polymorph in this dataset comes out at 43 meV/atom.

=====

[4]
## Li6AlPt2 (PBE)

Data for crystalline Li6AlPt2 at its relaxed geometry.

Unit cell a=4.4146 b=4.4146 c=9.2274 alpha=76.16 beta=76.16 gamma=60.00
Last column: nearest neighbours and their distance in Å.
Fractional positions:
1 Li 0.1900 0.1900 0.4301  7 Li 2.62-2.92, 4 Pt 2.67-2.92
2 Li 0.4234 0.4234 0.7297  3 Pt 2.55, 3 Li 2.82
3 Li 0.8100 0.8100 0.5699  7 Li 2.62-2.92, 4 Pt 2.67-2.92
4 Li 0.5766 0.5766 0.2703  3 Pt 2.55, 3 Li 2.82
5 Li 0.2885 0.2885 0.1346  4 Li 2.62-2.82, 3 Pt 2.81, 3 Al 2.81
6 Li 0.7115 0.7115 0.8654  4 Li 2.62-2.82, 3 Pt 2.81, 3 Al 2.81
7 Al 0.0000 0.0000 0.0000  2 Pt 2.38
8 Pt 0.9105 0.9105 0.2685  1 Al 2.38, 3 Li 2.55
9 Pt 0.0895 0.0895 0.7315  1 Al 2.38, 3 Li 2.55

Summary:
Its formation energy from the elements is -0.40 eV per atom. As for the size of the total moment: 0.000 μB/f.u.

=====

[5]
## LiAlPt2 (PBE)

Data for crystalline LiAlPt2 at its relaxed geometry.

Unit cell a=4.9405 b=4.9405 c=4.9405 alpha=136.16 beta=136.16 gamma=63.73
Last column: nearest neighbours and their distance in Å.
Fractional positions:
1 Al 0.5000 0.5000 0.0000  8 Pt 2.61-2.79, 4 Li 2.79
2 Li 0.7500 0.2500 0.5000  8 Pt 2.61-2.79, 4 Al 2.79
3 Pt 0.0000 0.0000 0.0000  4 Al 2.61, 4 Pt 2.79, 4 Li 2.79
4 Pt 0.2500 0.7500 0.5000  4 Li 2.61, 4 Al 2.79, 4 Pt 2.79

Summary:
Its formation energy from the elements is -0.76 eV per atom. As for the size of the total moment: 0.000 μB/f.u.

=====

[6]
## Li2AlPt (PBE)

Data for crystalline Li2AlPt at its relaxed geometry.

Unit cell a=2.7758 b=2.7758 c=7.8638 alpha=90.00 beta=90.00 gamma=90.00
Last column: nearest neighbours and their distance in Å.
Fractional positions:
1 Li 0.0000 0.0000 0.0285  4 Pt 2.62, 4 Li 2.78
2 Li 0.0000 0.0000 0.4715  4 Pt 2.62, 4 Li 2.78
3 Pt 0.5000 0.5000 0.2500  8 Li 2.62, 4 Pt 2.78
4 Al 0.5000 0.5000 0.7500  4 Al 2.78, 8 Li 2.94

Summary:
Its formation energy from the elements is -0.34 eV per atom. As for the size of the total moment: 0.000 μB/f.u.